First-principles (PBE-GGA) data for a relaxed La4Pr2Tm crystal, as listed in Alexandria via LeMat-Bulk.

The structure in extended XYZ format:
```
14
Lattice="6.9808 0.0000 0.0000 3.4904 8.4710 -1.1615 3.4904 1.6593 8.3877" Properties=species:S:1:pos:R:3 pbc="T T T"
Tm 5.2356 4.2355 -0.5807
Tm 1.7452 4.2355 -0.5807
Pr 6.9808 1.1589 4.4287
Pr 6.9808 5.0651 3.6131
Pr 6.9808 8.9714 2.7975
Pr 3.4904 0.0000 0.0000
La 6.9808 8.6006 6.2148
La 8.9401 6.8308 1.2706
La 10.4712 6.5195 4.7302
La 3.4904 3.6108 2.4960
La 6.9808 1.5297 1.0115
La 8.9401 3.2995 5.9556
La 5.0214 3.2995 5.9556
La 5.0214 6.8308 1.2706
```

Values from the calculation:
E_form	0.190	eV per atom
size of the total moment	0.000	μB/cell
volume	36.390	Å³/atom
polymorph energy (0 for the lowest one)	16.73	kJ per mole of atoms
SG	Imma, No. 74
N(E_F)	9.39	states/eV/f.u.